[1]
# PBE Be2AlAs, optimized geometry
# - crystal system = tetragonal
# - energy above the most stable polymorph in this dataset (eV/atom) = 0.181
data_Be2AlAs
_space_group_name_H-M_alt 'P 4/m m m'
_space_group_IT_number 123
_space_group_name_Hall '-P 4 2'
_cell_length_a 2.737
_cell_length_b 2.737
_cell_length_c 7.182
_cell_angle_alpha 90.00
_cell_angle_beta 90.00
_cell_angle_gamma 90.00
loop_
_atom_site_label
_atom_site_type_symbol
_atom_site_fract_x
_atom_site_fract_y
_atom_site_fract_z
_atom_site_occupancy
Be1 Be 0.000 0.000 0.242 1
Al1 Al 0.500 0.500 0.000 1
As1 As 0.500 0.500 0.500 1

=====

[2]
# PBE GaSiTcOs, optimized geometry
# - crystal system = cubic
data_GaSiTcOs
_space_group_name_H-M_alt 'F -4 3 m'
_space_group_IT_number 216
_space_group_name_Hall 'F -4 2 3'
_cell_length_a 6.016
_cell_length_b 6.016
_cell_length_c 6.016
_cell_angle_alpha 90.00
_cell_angle_beta 90.00
_cell_angle_gamma 90.00
loop_
_atom_site_label
_atom_site_type_symbol
_atom_site_fract_x
_atom_site_fract_y
_atom_site_fract_z
_atom_site_occupancy
Ga1 Ga 0.000 0.000 0.000 1
Si1 Si 0.000 0.000 0.500 1
Tc1 Tc 0.250 0.250 0.750 1
Os1 Os 0.250 0.250 0.250 1

=====

[3]
# PBE CsRbZnGeSe, optimized geometry
# - crystal system = triclinic
# - energy above the most stable polymorph in this dataset (eV/atom) = 0.039
data_CsRbZnGeSe
_space_group_name_H-M_alt 'P 1'
_space_group_IT_number 1
_space_group_name_Hall 'P 1'
_cell_length_a 4.689
_cell_length_b 6.933
_cell_length_c 7.708
_cell_angle_alpha 73.11
_cell_angle_beta 73.05
_cell_angle_gamma 70.31
loop_
_atom_site_label
_atom_site_type_symbol
_atom_site_fract_x
_atom_site_fract_y
_atom_site_fract_z
_atom_site_occupancy
Cs1 Cs 0.000 0.000 0.000 1
Rb1 Rb 0.462 0.496 0.559 1
Zn1 Zn 0.205 0.055 0.507 1
Ge1 Ge 0.771 0.923 0.508 1
Se1 Se 0.742 0.686 0.822 1

=====

[4]
# PBE SrTlAsBr2, optimized geometry
# - crystal system = tetragonal
# - energy above the most stable polymorph in this dataset (eV/atom) = 0.184
data_SrTlAsBr2
_space_group_name_H-M_alt 'P 4/m m m'
_space_group_IT_number 123
_space_group_name_Hall '-P 4 2'
_cell_length_a 5.749
_cell_length_b 5.749
_cell_length_c 5.442
_cell_angle_alpha 90.00
_cell_angle_beta 90.00
_cell_angle_gamma 90.00
loop_
_atom_site_label
_atom_site_type_symbol
_atom_site_fract_x
_atom_site_fract_y
_atom_site_fract_z
_atom_site_occupancy
Sr1 Sr 0.000 0.000 0.000 1
Tl1 Tl 0.500 0.500 0.500 1
As1 As 0.500 0.500 0.000 1
Br1 Br 0.000 0.500 0.500 1

=====

[5]
# PBE BaAgPb2, optimized geometry
# - crystal system = monoclinic
# - energy above the most stable polymorph in this dataset (eV/atom) = 0.090
data_BaAgPb2
_space_group_name_H-M_alt 'C 1 m 1'
_space_group_IT_number 8
_space_group_name_Hall 'C -2y'
_cell_length_a 9.748
_cell_length_b 4.824
_cell_length_c 6.247
_cell_angle_alpha 90.00
_cell_angle_beta 112.92
_cell_angle_gamma 90.00
loop_
_atom_site_label
_atom_site_type_symbol
_atom_site_fract_x
_atom_site_fract_y
_atom_site_fract_z
_atom_site_occupancy
Ba1 Ba 0.000 0.000 0.000 1
Ag1 Ag 0.261 0.500 0.390 1
Pb1 Pb 0.216 0.000 0.661 1
Pb2 Pb 0.452 0.000 0.421 1

=====

[6]
# PBE LiFeP2C, optimized geometry
# - crystal system = tetragonal
data_LiFeP2C
_space_group_name_H-M_alt 'P 4/m m m'
_space_group_IT_number 123
_space_group_name_Hall '-P 4 2'
_cell_length_a 3.953
_cell_length_b 3.953
_cell_length_c 3.688
_cell_angle_alpha 90.00
_cell_angle_beta 90.00
_cell_angle_gamma 90.00
loop_
_atom_site_label
_atom_site_type_symbol
_atom_site_fract_x
_atom_site_fract_y
_atom_site_fract_z
_atom_site_occupancy
Li1 Li 0.000 0.000 0.000 1
Fe1 Fe 0.500 0.500 0.000 1
P1 P 0.000 0.500 0.500 1
C1 C 0.000 0.000 0.500 1

=====

[7]
# PBE AcGeBPt6, optimized geometry
# - crystal system = orthorhombic
data_AcGeBPt6
_space_group_name_H-M_alt 'I m m a'
_space_group_IT_number 74
_space_group_name_Hall '-I 2b 2'
_cell_length_a 7.391
_cell_length_b 8.231
_cell_length_c 11.376
_cell_angle_alpha 90.00
_cell_angle_beta 90.00
_cell_angle_gamma 90.00
loop_
_atom_site_label
_atom_site_type_symbol
_atom_site_fract_x
_atom_site_fract_y
_atom_site_fract_z
_atom_site_occupancy
Ac1 Ac 0.000 0.250 0.167 1
Ge1 Ge 0.250 0.250 0.750 1
B1 B 0.000 0.000 0.500 1
Pt1 Pt 0.000 0.250 0.439 1
Pt2 Pt 0.000 0.250 0.889 1
Pt3 Pt 0.217 0.019 0.621 1

=====

[8]
# PBE Zr2BeAg, optimized geometry
# - crystal system = orthorhombic
data_Zr2BeAg
_space_group_name_H-M_alt 'C m m m'
_space_group_IT_number 65
_space_group_name_Hall '-C 2 2'
_cell_length_a 5.760
_cell_length_b 7.869
_cell_length_c 3.256
_cell_angle_alpha 90.00
_cell_angle_beta 90.00
_cell_angle_gamma 90.00
loop_
_atom_site_label
_atom_site_type_symbol
_atom_site_fract_x
_atom_site_fract_y
_atom_site_fract_z
_atom_site_occupancy
Zr1 Zr 0.250 0.250 0.000 1
Be1 Be 0.000 0.000 0.500 1
Ag1 Ag 0.000 0.500 0.500 1

=====

[9]
# PBE Pr2Ir9Rh, optimized geometry
# - crystal system = trigonal
data_Pr2Ir9Rh
_space_group_name_H-M_alt 'R -3 m'
_space_group_IT_number 166
_space_group_name_Hall '-R 3 2"'
_cell_length_a 5.3031
_cell_length_b 5.3031
_cell_length_c 26.5877
_cell_angle_alpha 90.00
_cell_angle_beta 90.00
_cell_angle_gamma 120.00
loop_
_atom_site_label
_atom_site_type_symbol
_atom_site_fract_x
_atom_site_fract_y
_atom_site_fract_z
_atom_site_occupancy
Pr1 Pr 0.0000 0.0000 0.1356 1
Ir1 Ir 0.0000 0.0000 0.3331 1
Ir2 Ir 0.0000 0.0000 0.5000 1
Ir3 Ir 0.0013 0.5007 0.0804 1
Rh1 Rh 0.0000 0.0000 0.0000 1

=====

[10]
# PBE Cs2SmTlS4, optimized geometry
# - crystal system = monoclinic
data_Cs2SmTlS4
_space_group_name_H-M_alt 'C 1 2/c 1'
_space_group_IT_number 15
_space_group_name_Hall '-C 2yc'
_cell_length_a 12.032
_cell_length_b 12.823
_cell_length_c 8.659
_cell_angle_alpha 90.00
_cell_angle_beta 131.61
_cell_angle_gamma 90.00
loop_
_atom_site_label
_atom_site_type_symbol
_atom_site_fract_x
_atom_site_fract_y
_atom_site_fract_z
_atom_site_occupancy
Cs1 Cs 0.000 0.000 0.000 1
Cs2 Cs 0.250 0.250 0.000 1
Sm1 Sm 0.000 0.500 0.000 1
Tl1 Tl 0.250 0.250 0.500 1
S1 S 0.030 0.270 0.486 1
S2 S 0.202 0.488 0.441 1

=====

[11]
# PBE PmPuHg6, optimized geometry
# - crystal system = hexagonal
data_PmPuHg6
_space_group_name_H-M_alt 'P -6 m 2'
_space_group_IT_number 187
_space_group_name_Hall 'P -6 2'
_cell_length_a 6.7397
_cell_length_b 6.7397
_cell_length_c 5.1112
_cell_angle_alpha 90.00
_cell_angle_beta 90.00
_cell_angle_gamma 120.00
loop_
_atom_site_label
_atom_site_type_symbol
_atom_site_fract_x
_atom_site_fract_y
_atom_site_fract_z
_atom_site_occupancy
Pm1 Pm 0.0000 0.0000 0.0000 1
Pu1 Pu 0.6667 0.3333 0.5000 1
Hg1 Hg 0.0004 0.5002 0.0000 1
Hg2 Hg 0.1694 0.3389 0.5000 1

=====

[12]
# PBE Rb3Pu6Br20, optimized geometry
# - crystal system = cubic
data_Rb3Pu6Br20
_space_group_name_H-M_alt 'F m -3 m'
_space_group_IT_number 225
_space_group_name_Hall '-F 4 2 3'
_cell_length_a 15.368
_cell_length_b 15.368
_cell_length_c 15.368
_cell_angle_alpha 90.00
_cell_angle_beta 90.00
_cell_angle_gamma 90.00
loop_
_atom_site_label
_atom_site_type_symbol
_atom_site_fract_x
_atom_site_fract_y
_atom_site_fract_z
_atom_site_occupancy
Rb1 Rb 0.000 0.000 0.000 1
Rb2 Rb 0.250 0.250 0.250 1
Pu1 Pu 0.000 0.000 0.266 1
Br1 Br 0.000 0.167 0.167 1
Br2 Br 0.116 0.116 0.384 1

=====

[13]
# PBE YTmTh2, optimized geometry
# - crystal system = orthorhombic
# - energy above the most stable polymorph in this dataset (eV/atom) = 0.000
data_YTmTh2
_space_group_name_H-M_alt 'P m m a'
_space_group_IT_number 51
_space_group_name_Hall '-P 2a 2a'
_cell_length_a 5.049
_cell_length_b 5.040
_cell_length_c 10.046
_cell_angle_alpha 90.00
_cell_angle_beta 90.00
_cell_angle_gamma 90.00
loop_
_atom_site_label
_atom_site_type_symbol
_atom_site_fract_x
_atom_site_fract_y
_atom_site_fract_z
_atom_site_occupancy
Y1 Y 0.250 0.000 0.128 1
Tm1 Tm 0.250 0.500 0.872 1
Th1 Th 0.250 0.000 0.624 1
Th2 Th 0.250 0.500 0.377 1

=====

[14]
# PBE ZrAlSi, optimized geometry
# - crystal system = hexagonal
data_ZrAlSi
_space_group_name_H-M_alt 'P -6 m 2'
_space_group_IT_number 187
_space_group_name_Hall 'P -6 2'
_cell_length_a 4.3857
_cell_length_b 4.3857
_cell_length_c 7.0953
_cell_angle_alpha 90.00
_cell_angle_beta 90.00
_cell_angle_gamma 120.00
loop_
_atom_site_label
_atom_site_type_symbol
_atom_site_fract_x
_atom_site_fract_y
_atom_site_fract_z
_atom_site_occupancy
Zr1 Zr 0.0000 0.0000 0.2245 1
Al1 Al 0.3333 0.6667 0.0000 1
Al2 Al 0.3333 0.6667 0.5000 1
Si1 Si 0.6667 0.3333 0.3337 1

=====

[15]
# PBE Ca2AcNd, optimized geometry
# - crystal system = tetragonal
# - energy above the most stable polymorph in this dataset (eV/atom) = 0.075
data_Ca2AcNd
_space_group_name_H-M_alt 'P 4/m m m'
_space_group_IT_number 123
_space_group_name_Hall '-P 4 2'
_cell_length_a 5.298
_cell_length_b 5.298
_cell_length_c 5.737
_cell_angle_alpha 90.00
_cell_angle_beta 90.00
_cell_angle_gamma 90.00
loop_
_atom_site_label
_atom_site_type_symbol
_atom_site_fract_x
_atom_site_fract_y
_atom_site_fract_z
_atom_site_occupancy
Ca1 Ca 0.000 0.500 0.000 1
Ac1 Ac 0.000 0.000 0.500 1
Nd1 Nd 0.500 0.500 0.500 1

=====

[16]
# PBE Hf5FeCo4, optimized geometry
# - crystal system = tetragonal
data_Hf5FeCo4
_space_group_name_H-M_alt 'P 4/m m m'
_space_group_IT_number 123
_space_group_name_Hall '-P 4 2'
_cell_length_a 3.162
_cell_length_b 3.162
_cell_length_c 15.721
_cell_angle_alpha 90.00
_cell_angle_beta 90.00
_cell_angle_gamma 90.00
loop_
_atom_site_label
_atom_site_type_symbol
_atom_site_fract_x
_atom_site_fract_y
_atom_site_fract_z
_atom_site_occupancy
Hf1 Hf 0.000 0.000 0.000 1
Hf2 Hf 0.000 0.000 0.201 1
Hf3 Hf 0.000 0.000 0.401 1
Fe1 Fe 0.500 0.500 0.500 1
Co1 Co 0.500 0.500 0.100 1
Co2 Co 0.500 0.500 0.299 1

=====

[17]
# PBE CaCd2Hg6, optimized geometry
# - crystal system = monoclinic
# - energy above the most stable polymorph in this dataset (eV/atom) = 0.000
data_CaCd2Hg6
_space_group_name_H-M_alt 'C 1 2/c 1'
_space_group_IT_number 15
_space_group_name_Hall '-C 2yc'
_cell_length_a 12.352
_cell_length_b 12.785
_cell_length_c 6.304
_cell_angle_alpha 90.00
_cell_angle_beta 110.75
_cell_angle_gamma 90.00
loop_
_atom_site_label
_atom_site_type_symbol
_atom_site_fract_x
_atom_site_fract_y
_atom_site_fract_z
_atom_site_occupancy
Ca1 Ca 0.000 0.120 0.250 1
Cd1 Cd 0.162 0.487 0.360 1
Hg1 Hg 0.022 0.337 0.003 1
Hg2 Hg 0.131 0.102 0.801 1
Hg3 Hg 0.249 0.299 0.719 1

=====

What are the VASP energy values for these records? In order: -3.561, -7.688, -2.618, -2.910, -3.291, -5.281, -6.239, -5.844, -8.112, -4.224, -2.869, -5.751, -6.411, -5.877, -3.122, -9.043, -0.765 eV per atom.
What are the magnetization values for these records? In order: 0.00, 0.00, 0.00, 0.70, 0.00, 2.11, 0.00, 0.00, 4.25, 0.00, 5.95, 124.00, 0.00, 0.00, 0.00, 3.56, 0.00 μB/cell.
What are the N(E_F) values for these records? In order: 0.1555, 0.7985, 0.0335, 0.9323, 0.4389, 1.0574, 0.2219, 0.8014, 1.4458, 0.1150, 2.1971, 3.0151, 1.7960, 0.2955, 1.4463, 0.7916, 0.3088 states/eV/atom.